No. 1
# Tm4TlPb2

Tm4TlPb2 after structural relaxation (GGA-PBE, Alexandria).

a b c (Å): 6.097 6.653 10.293
angles (deg): 90.00 103.37 90.00
Positions (direct):
Tm  0.020  0.001  0.265
Tm  0.020  0.499  0.265
Tm  0.358  0.750  0.540
Tm  0.478  0.750  0.167
Tm  0.522  0.250  0.833
Tm  0.642  0.250  0.460
Tm  0.980  0.501  0.735
Tm  0.980  0.999  0.735
Tl  0.432  0.750  0.844
Tl  0.568  0.250  0.156
Pb  0.078  0.250  0.003
Pb  0.192  0.250  0.535
Pb  0.808  0.750  0.465
Pb  0.922  0.750  0.997

Values from the calculation:
spin magnetization: 0.0000 μB per atom
electronic total energy: -4.2107 eV/atom
calculated density: 10.58 g cm⁻³
energy of formation: -0.258 eV per atom
SG: No. 11

No. 2
# AgP2AuO

AgP2AuO after structural relaxation (GGA-PBE, Alexandria).

a b c (Å): 4.678 4.678 5.163
angles (deg): 90.00 90.00 90.00
Positions (direct):
Ag  0.000  0.000  0.000
P  0.000  0.500  0.000
P  0.500  0.000  0.000
Au  0.000  0.000  0.500
O  0.500  0.500  0.500

Values from the calculation:
spin magnetization: 0.0000 μB per atom
electronic total energy: -2.7921 eV/atom
calculated density: 5.63 g cm⁻³
ΔE to the lowest computed polymorph: 693.2 meV per atom
SG: No. 123
formation energy without anion corrections: 1.59 eV/atom